# 1
VASP calculation (PBE) on a relaxed structure of MgGa5.

extended XYZ file:
```
6
Lattice="4.079 0.000 0.000 -2.039 4.457 -1.634 0.000 0.388 6.072" Properties=species:S:1:pos:R:3 pbc="T T T"
Ga 0.000 2.999 2.698
Ga 2.039 4.383 1.154
Ga 2.039 1.589 4.209
Ga 0.000 2.717 -0.264
Ga 2.039 1.309 1.245
Mg 2.039 4.574 4.191
```

- energy of formation from the pure elements (eV/f.u.) = -0.31
- Fermi-level density of states (states/eV/f.u.) = 1.86
- crystal system = monoclinic
- mass density (Mg/m³) = 5.48

# 2
VASP calculation (PBE) on a relaxed structure of Mg5Ga3.

extended XYZ file:
```
8
Lattice="-2.778 -3.237 0.527 4.623 -3.972 -0.032 0.218 0.797 6.039" Properties=species:S:1:pos:R:3 pbc="T T T"
Ga 2.420 -1.588 3.003
Ga 2.223 -4.497 1.624
Ga -0.161 -1.916 4.910
Mg 2.117 -3.919 4.615
Mg 0.000 0.000 0.000
Mg 0.109 0.398 3.019
Mg 2.311 -1.986 -0.016
Mg -0.055 -2.494 1.919
```

- energy of formation from the pure elements (eV/f.u.) = -0.85
- Fermi-level density of states (states/eV/f.u.) = 2.90
- crystal system = orthorhombic
- mass density (Mg/m³) = 3.45

# 3
VASP calculation (PBE) on a relaxed structure of MgGa5.

extended XYZ file:
```
6
Lattice="5.697 0.049 0.217 4.836 3.012 0.217 2.005 0.582 6.830" Properties=species:S:1:pos:R:3 pbc="T T T"
Ga 2.113 0.614 6.834
Ga 5.007 1.455 6.565
Ga 11.007 3.198 4.581
Ga 8.258 2.399 4.856
Ga 4.150 1.206 2.420
Mg 6.997 2.033 2.159
```

- energy of formation from the pure elements (eV/f.u.) = -0.23
- Fermi-level density of states (states/eV/f.u.) = 2.17
- crystal system = monoclinic
- mass density (Mg/m³) = 5.42

# 4
VASP calculation (PBE) on a relaxed structure of Mg4Ga.

extended XYZ file:
```
10
Lattice="-4.176 -1.977 1.237 0.827 -4.281 -4.051 5.185 -1.065 6.556" Properties=species:S:1:pos:R:3 pbc="T T T"
Mg -0.713 -2.626 2.644
Mg -2.088 -0.989 0.618
Mg -1.674 -3.129 -1.407
Mg 2.133 -2.542 3.137
Mg 2.549 -4.697 1.098
Mg 0.941 -5.430 3.744
Mg 0.896 -1.893 -0.002
Mg -0.296 -4.781 0.605
Ga 1.412 -4.156 -1.878
Ga 0.425 -3.167 5.620
```

- energy of formation from the pure elements (eV/f.u.) = 0.00
- Fermi-level density of states (states/eV/f.u.) = 2.37
- crystal system = orthorhombic
- relative energy among the computed polymorphs (kJ/mol of atoms) = 0.0
- mass density (Mg/m³) = 2.59

# 5
VASP calculation (PBE) on a relaxed structure of MgMnGa2.

extended XYZ file:
```
8
Lattice="-0.065 3.745 1.636 -2.261 -1.395 3.106 6.420 -0.731 7.034" Properties=species:S:1:pos:R:3 pbc="T T T"
Ga 1.280 2.108 3.223
Ga 4.018 0.379 6.950
Ga 0.186 -0.712 3.849
Ga 2.705 1.461 9.527
Mg 1.498 -0.476 6.255
Mg -1.163 1.175 2.371
Mn 0.000 0.000 0.000
Mn 2.596 2.094 5.520
```

- energy of formation from the pure elements (eV/f.u.) = 0.82
- Fermi-level density of states (states/eV/f.u.) = 2.59
- crystal system = tetragonal
- mass density (Mg/m³) = 4.78

# 6
VASP calculation (PBE) on a relaxed structure of MgMnGa.

extended XYZ file:
```
6
Lattice="3.940 0.000 0.000 0.000 3.940 0.000 0.000 0.000 6.597" Properties=species:S:1:pos:R:3 pbc="T T T"
Mn 1.970 1.970 3.299
Mn 0.000 0.000 3.299
Ga 1.970 0.000 4.888
Ga 0.000 1.970 1.710
Mg 1.970 0.000 1.114
Mg 0.000 1.970 5.483
```

- energy of formation from the pure elements (eV/f.u.) = -0.16
- Fermi-level density of states (states/eV/f.u.) = 2.07
- crystal system = tetragonal
- mass density (Mg/m³) = 4.83

# 7
VASP calculation (PBE) on a relaxed structure of MgMnGa.

extended XYZ file:
```
3
Lattice="2.938 0.000 0.000 0.000 2.938 0.000 -1.469 -1.469 5.713" Properties=species:S:1:pos:R:3 pbc="T T T"
Ga 0.000 0.000 3.644
Mg 0.000 0.000 0.037
Mn 1.469 1.469 2.032
```

- energy of formation from the pure elements (eV/f.u.) = 0.06
- Fermi-level density of states (states/eV/f.u.) = 1.45
- crystal system = tetragonal
- mass density (Mg/m³) = 5.02

# 8
VASP calculation (PBE) on a relaxed structure of MgMn2Ga2.

extended XYZ file:
```
5
Lattice="4.521 0.000 0.000 0.000 4.521 0.000 2.261 2.261 3.898" Properties=species:S:1:pos:R:3 pbc="T T T"
Mn 4.521 4.521 2.894
Mn 2.261 2.261 1.004
Mg 0.000 0.000 0.000
Ga 2.261 4.521 1.949
Ga 4.521 2.261 1.949
```

- energy of formation from the pure elements (eV/f.u.) = 1.20
- Fermi-level density of states (states/eV/f.u.) = 3.38
- crystal system = tetragonal
- mass density (Mg/m³) = 5.70

# 9
VASP calculation (PBE) on a relaxed structure of Mg2MnGa.

extended XYZ file:
```
8
Lattice="7.598 0.000 0.000 0.000 7.598 0.000 3.799 3.799 2.788" Properties=species:S:1:pos:R:3 pbc="T T T"
Mn 3.799 3.799 0.000
Mn 3.799 7.598 1.394
Mg 9.498 9.565 2.091
Mg 5.699 5.631 2.091
Mg 1.832 5.699 0.697
Mg 5.766 1.900 0.697
Ga 7.598 3.799 1.394
Ga 0.000 0.000 0.000
```

- energy of formation from the pure elements (eV/f.u.) = 1.45
- Fermi-level density of states (states/eV/f.u.) = 2.65
- crystal system = tetragonal
- mass density (Mg/m³) = 3.58

# 10
VASP calculation (PBE) on a relaxed structure of MgMnGa2.

extended XYZ file:
```
4
Lattice="-2.200 1.451 2.987 0.920 -3.221 2.242 3.232 1.928 1.444" Properties=species:S:1:pos:R:3 pbc="T T T"
Mn 0.976 0.079 3.337
Ga 1.616 0.964 0.722
Ga 0.460 -1.611 1.121
Mg -1.100 0.726 1.494
```

- energy of formation from the pure elements (eV/f.u.) = -0.26
- Fermi-level density of states (states/eV/f.u.) = 1.64
- crystal system = tetragonal
- mass density (Mg/m³) = 5.61

# 11
VASP calculation (PBE) on a relaxed structure of Mg2MnGa.

extended XYZ file:
```
4
Lattice="-1.961 1.162 -3.495 -3.508 -1.472 1.478 -0.822 3.633 1.668" Properties=species:S:1:pos:R:3 pbc="T T T"
Mn -3.145 1.661 -0.174
Mg -0.411 1.817 0.834
Mg -1.754 -0.736 0.739
Ga -0.980 0.581 -1.748
```

- energy of formation from the pure elements (eV/f.u.) = 0.04
- Fermi-level density of states (states/eV/f.u.) = 2.41
- crystal system = tetragonal
- mass density (Mg/m³) = 4.14

# 12
VASP calculation (PBE) on a relaxed structure of MgMn3Ga.

extended XYZ file:
```
5
Lattice="-3.975 1.111 -1.502 0.828 -2.119 -3.757 -1.675 -3.683 1.708" Properties=species:S:1:pos:R:3 pbc="T T T"
Mg -2.411 -2.346 -1.776
Mn -0.837 -1.842 0.854
Mn 0.414 -1.059 -1.878
Mn -1.987 0.555 -0.751
Ga 0.000 0.000 0.000
```

- energy of formation from the pure elements (eV/f.u.) = 6.82
- Fermi-level density of states (states/eV/f.u.) = 11.34
- crystal system = cubic
- mass density (Mg/m³) = 5.07

Which of these has the lowest mass density? Mg4Ga

Among the records above, which one has the lowest mass density? Mg4Ga

Which of these has the lowest mass density? Mg4Ga

mass density of number 11 (Mg2MnGa)? 4.14 Mg/m³